A crystal of Cs3ReB relaxed with PBEsol, computed with meta-GGA SCAN.

Symmetry ... Pm-3m, No. 221
Fermi-level density of states ... 1.69 states/eV per atom
Total magnetization ... 1.490 μB per cell
Total energy ... -180.608 eV for the cell shown
E_form ... 2.27 eV/atom

Cell and atoms, written as POSCAR:
```
Cs3ReB
1.0
5.7526 0.0000 0.0000
0.0000 5.7526 0.0000
0.0000 0.0000 5.7526
Cs Re B
3 1 1
direct
0.5000 0.0000 0.0000 Cs
0.0000 0.0000 0.5000 Cs
0.0000 0.5000 0.0000 Cs
0.0000 0.0000 0.0000 Re
0.5000 0.5000 0.5000 B
```

=====

A crystal of CsB3Rh relaxed with PBEsol, computed with meta-GGA SCAN.

Symmetry ... Pm-3m, No. 221
Fermi-level density of states ... 0.26 states/eV per atom
Total magnetization ... 0.000 μB per cell
Total energy ... -88.996 eV for the cell shown
E_form ... 0.97 eV/atom

Cell and atoms, written as POSCAR:
```
CsB3Rh
1.0
4.2297 0.0000 0.0000
0.0000 4.2297 0.0000
0.0000 0.0000 4.2297
B Cs Rh
3 1 1
direct
0.0000 0.5000 0.0000 B
0.0000 0.0000 0.5000 B
0.5000 0.0000 0.0000 B
0.5000 0.5000 0.5000 Cs
0.0000 0.0000 0.0000 Rh
```

=====

A crystal of Cs2BRh relaxed with PBEsol, computed with meta-GGA SCAN.

Symmetry ... Fm-3m, No. 225
Fermi-level density of states ... 0.92 states/eV per atom
Total magnetization ... 0.001 μB per cell
Total energy ... -109.909 eV for the cell shown
E_form ... 1.73 eV/atom

Cell and atoms, written as POSCAR:
```
Cs2BRh
1.0
5.2993 0.0000 0.0000
2.6497 4.5894 0.0000
2.6497 1.5298 4.3269
B Cs Rh
1 2 1
direct
0.0000 0.0000 0.0000 B
0.7500 0.7500 0.7500 Cs
0.2500 0.2500 0.2500 Cs
0.5000 0.5000 0.5000 Rh
```

=====

A crystal of Cs4B9S9 relaxed with PBEsol, computed with meta-GGA SCAN.

E_form (uncorrected) ... -0.92 eV per atom
Symmetry ... P-1, No. 2
Fermi-level density of states ... 0.00 states/eV per atom
Total magnetization ... 0.005 μB per cell
Total energy ... -650.116 eV for the cell shown

Cell and atoms, written as POSCAR:
```
Cs4B9S9
1.0
10.3148 0.0612 -0.0450
-3.5420 9.6829 0.0985
-2.5003 -1.4400 10.4083
B S Cs
18 18 8
direct
0.8770 0.0243 0.8749 B
0.1643 0.0317 0.9805 B
0.1230 0.9757 0.1251 B
0.9294 0.2602 0.2523 B
0.9906 0.0419 0.1475 B
0.0094 0.9581 0.8525 B
0.0706 0.7398 0.7477 B
0.0626 0.1345 0.9167 B
0.6722 0.7680 0.1443 B
0.9374 0.8655 0.0833 B
0.8699 0.8569 0.9142 B
0.3278 0.2320 0.8557 B
0.9536 0.1412 0.0221 B
0.3572 0.1812 0.3055 B
0.8357 0.9683 0.0195 B
0.0464 0.8588 0.9779 B
0.6428 0.8188 0.6945 B
0.1301 0.1431 0.0858 B
0.2796 0.2855 0.1969 S
0.9750 0.1090 0.3023 S
0.3399 0.0855 0.9439 S
0.6601 0.9145 0.0561 S
0.2713 0.9895 0.2686 S
0.0883 0.7099 0.9184 S
0.4925 0.7397 0.5619 S
0.9085 0.3745 0.3651 S
0.9117 0.2901 0.0816 S
0.4717 0.3332 0.7974 S
0.5283 0.6668 0.2026 S
0.5075 0.2603 0.4381 S
0.0915 0.6255 0.6349 S
0.7204 0.7145 0.8031 S
0.0250 0.8910 0.6977 S
0.7287 0.0105 0.7314 S
0.1616 0.2709 0.8308 S
0.8384 0.7291 0.1692 S
0.1846 0.6199 0.2436 Cs
0.7514 0.6218 0.4711 Cs
0.3534 0.9909 0.6229 Cs
0.6145 0.3728 0.1315 Cs
0.8154 0.3801 0.7564 Cs
0.6466 0.0091 0.3771 Cs
0.2486 0.3782 0.5289 Cs
0.3855 0.6272 0.8685 Cs
```

=====

A crystal of Cs2BSb relaxed with PBEsol, computed with meta-GGA SCAN.

E_form (uncorrected) ... 0.94 eV per atom
Symmetry ... Fm-3m, No. 225
Fermi-level density of states ... 0.54 states/eV per atom
Total magnetization ... 0.000 μB per cell
Total energy ... -116.546 eV for the cell shown

Cell and atoms, written as POSCAR:
```
Cs2BSb
1.0
6.0088 0.0000 0.0000
3.0044 5.2038 0.0000
3.0044 1.7346 4.9062
B Sb Cs
1 1 2
direct
0.0000 0.0000 0.0000 B
0.5000 0.5000 0.5000 Sb
0.7500 0.7500 0.7500 Cs
0.2500 0.2500 0.2500 Cs
```

=====

A crystal of CsBSb2Te relaxed with PBEsol, computed with meta-GGA SCAN.

E_form (uncorrected) ... 0.53 eV per atom
Symmetry ... P4/mmm, No. 123
Fermi-level density of states ... 0.69 states/eV per atom
Total magnetization ... 0.000 μB per cell
Total energy ... -154.370 eV for the cell shown

Cell and atoms, written as POSCAR:
```
CsBSb2Te
1.0
-2.4541 3.8489 -2.0335
0.5036 -2.0677 -4.5213
-4.6399 -2.6027 0.6735
Sb Cs B Te
2 1 1 1
direct
0.0000 0.5000 0.0000 Sb
0.5000 0.0000 0.0000 Sb
0.5000 0.5000 0.5000 Cs
0.0000 0.0000 0.0000 B
0.0000 0.0000 0.5000 Te
```

=====

A crystal of CsZr2ScB relaxed with PBEsol, computed with meta-GGA SCAN.

Symmetry ... P4/mmm, No. 123
Fermi-level density of states ... 0.96 states/eV per atom
Total magnetization ... 1.821 μB per cell
Total energy ... -109.576 eV for the cell shown
E_form ... 2.26 eV/atom

Cell and atoms, written as POSCAR:
```
CsZr2ScB
1.0
5.0524 0.0000 0.0000
0.0000 5.0524 0.0000
0.0000 0.0000 5.5843
Zr B Sc Cs
2 1 1 1
direct
0.0000 0.5000 0.0000 Zr
0.5000 0.0000 0.0000 Zr
0.5000 0.5000 0.5000 B
0.0000 0.0000 0.0000 Sc
0.0000 0.0000 0.5000 Cs
```

=====

A crystal of CsBSe2 relaxed with PBEsol, computed with meta-GGA SCAN.

E_form (uncorrected) ... -0.79 eV per atom
Symmetry ... C2/c, No. 15
Fermi-level density of states ... 0.00 states/eV per atom
Total magnetization ... 0.000 μB per cell
Total energy ... -177.101 eV for the cell shown

Cell and atoms, written as POSCAR:
```
CsBSe2
1.0
-4.3615 -3.4871 0.0442
5.4514 -4.6335 -0.6613
-1.0584 3.5946 6.1305
B Se Cs
2 4 2
direct
0.7500 0.0009 0.9991 B
0.2500 0.9991 0.0009 B
0.0784 0.2474 0.0634 Se
0.9216 0.7526 0.9366 Se
0.5784 0.0634 0.2474 Se
0.4216 0.9366 0.7526 Se
0.2500 0.3603 0.6397 Cs
0.7500 0.6397 0.3603 Cs
```

=====

A crystal of CsBSe3 relaxed with PBEsol, computed with meta-GGA SCAN.

E_form (uncorrected) ... -0.71 eV per atom
Symmetry ... P2_1/c, No. 14
Fermi-level density of states ... 0.00 states/eV per atom
Total magnetization ... 0.000 μB per cell
Total energy ... -436.072 eV for the cell shown

Cell and atoms, written as POSCAR:
```
CsBSe3
1.0
-5.6003 1.9933 1.6238
0.4711 -7.0590 2.5357
4.6990 4.2578 10.9800
Se Cs B
12 4 4
direct
0.6705 0.9404 0.6827 Se
0.1484 0.4515 0.3058 Se
0.1705 0.9404 0.8173 Se
0.3516 0.5485 0.8058 Se
0.8295 0.0596 0.1827 Se
0.6716 0.2002 0.4079 Se
0.8516 0.5485 0.6942 Se
0.8284 0.7998 0.9079 Se
0.1716 0.2002 0.0921 Se
0.3284 0.7998 0.5921 Se
0.6484 0.4515 0.1942 Se
0.3295 0.0596 0.3173 Se
0.2075 0.2589 0.5771 Cs
0.2925 0.7411 0.0771 Cs
0.7925 0.7411 0.4229 Cs
0.7075 0.2589 0.9229 Cs
0.8305 0.2947 0.2697 B
0.1695 0.7053 0.7303 B
0.6695 0.7053 0.7697 B
0.3305 0.2947 0.2303 B
```

=====

A crystal of Cs3B3Se10 relaxed with PBEsol, computed with meta-GGA SCAN.

E_form (uncorrected) ... -0.67 eV per atom
Symmetry ... P-1, No. 2
Fermi-level density of states ... 0.00 states/eV per atom
Total magnetization ... 0.000 μB per cell
Total energy ... -694.577 eV for the cell shown

Cell and atoms, written as POSCAR:
```
Cs3B3Se10
1.0
-5.6725 -4.9928 0.4859
3.8243 -6.3878 3.9209
-1.2521 2.5853 14.9834
Se B Cs
20 6 6
direct
0.1480 0.2424 0.5418 Se
0.0717 0.2421 0.3296 Se
0.4104 0.7906 0.9728 Se
0.6858 0.4890 0.6211 Se
0.4872 0.8494 0.7166 Se
0.8520 0.7576 0.4582 Se
0.1483 0.4512 0.6218 Se
0.4592 0.9339 0.2221 Se
0.8517 0.5488 0.3782 Se
0.7715 0.9835 0.9818 Se
0.2879 0.5541 0.2188 Se
0.5896 0.2094 0.0272 Se
0.9283 0.7579 0.6704 Se
0.2032 0.3070 0.1066 Se
0.7121 0.4459 0.7812 Se
0.7968 0.6930 0.8934 Se
0.5128 0.1506 0.2834 Se
0.5408 0.0661 0.7779 Se
0.3142 0.5110 0.3789 Se
0.2285 0.0165 0.0182 Se
0.7313 0.6912 0.7639 B
0.2687 0.3088 0.2361 B
0.9010 0.6050 0.5901 B
0.6116 0.8989 0.9059 B
0.0990 0.3950 0.4099 B
0.3884 0.1011 0.0941 B
0.2528 0.4788 0.8582 Cs
0.9538 0.9407 0.2160 Cs
0.0462 0.0593 0.7840 Cs
0.3312 0.8351 0.4840 Cs
0.6688 0.1649 0.5160 Cs
0.7472 0.5212 0.1418 Cs
```

=====

A crystal of CsBSe2 relaxed with PBEsol, computed with meta-GGA SCAN.

E_form (uncorrected) ... 0.18 eV per atom
Symmetry ... R-3m, No. 166
Fermi-level density of states ... 0.11 states/eV per atom
Total magnetization ... 0.000 μB per cell
Total energy ... -84.696 eV for the cell shown

Cell and atoms, written as POSCAR:
```
CsBSe2
1.0
-0.5853 -0.0608 3.4483
-2.3988 -2.1718 1.3289
4.7035 -6.5085 2.4580
B Se Cs
1 2 1
direct
0.5000 0.5000 0.5000 B
0.2173 0.2173 0.3482 Se
0.7827 0.7827 0.6518 Se
0.0000 0.0000 0.0000 Cs
```

=====

A crystal of Cs4B9Se9 relaxed with PBEsol, computed with meta-GGA SCAN.

E_form (uncorrected) ... -0.72 eV per atom
Symmetry ... P-1, No. 2
Fermi-level density of states ... 0.00 states/eV per atom
Total magnetization ... 0.000 μB per cell
Total energy ... -829.469 eV for the cell shown

Cell and atoms, written as POSCAR:
```
Cs4B9Se9
1.0
10.6827 0.0449 -0.0118
-3.7211 10.0772 0.0958
-2.5158 -1.4220 10.6877
Se B Cs
18 18 8
direct
0.9088 0.2890 0.0787 Se
0.5173 0.6565 0.2059 Se
0.0912 0.7110 0.9213 Se
0.7218 0.7104 0.8043 Se
0.9731 0.1010 0.3090 Se
0.4827 0.3435 0.7941 Se
0.8408 0.7253 0.1711 Se
0.1592 0.2747 0.8289 Se
0.3443 0.0845 0.9464 Se
0.0269 0.8990 0.6910 Se
0.6557 0.9155 0.0536 Se
0.7311 0.0162 0.7300 Se
0.4846 0.7371 0.5554 Se
0.2782 0.2896 0.1957 Se
0.2689 0.9838 0.2700 Se
0.9002 0.3717 0.3758 Se
0.0998 0.6283 0.6242 Se
0.5154 0.2629 0.4446 Se
0.6678 0.7637 0.1450 B
0.9246 0.2558 0.2565 B
0.3322 0.2363 0.8550 B
0.0453 0.8655 0.9781 B
0.8752 0.8622 0.9165 B
0.1248 0.1378 0.0835 B
0.8826 0.0235 0.8791 B
0.0104 0.9614 0.8559 B
0.0607 0.1298 0.9195 B
0.9547 0.1345 0.0219 B
0.9896 0.0386 0.1441 B
0.8408 0.9684 0.0191 B
0.0754 0.7442 0.7435 B
0.6422 0.8188 0.6930 B
0.1592 0.0316 0.9809 B
0.1174 0.9765 0.1209 B
0.9393 0.8702 0.0805 B
0.3578 0.1812 0.3070 B
0.1720 0.6181 0.2547 Cs
0.2477 0.3727 0.5262 Cs
0.6138 0.3726 0.1324 Cs
0.3601 0.9951 0.6286 Cs
0.6399 0.0049 0.3714 Cs
0.3862 0.6274 0.8676 Cs
0.7523 0.6273 0.4738 Cs
0.8280 0.3819 0.7453 Cs
```

=====

A crystal of CsBSe2 relaxed with PBEsol, computed with meta-GGA SCAN.

E_form (uncorrected) ... -0.67 eV per atom
Symmetry ... R-3m, No. 166
Fermi-level density of states ... 0.00 states/eV per atom
Total magnetization ... 0.000 μB per cell
Total energy ... -88.064 eV for the cell shown

Cell and atoms, written as POSCAR:
```
CsBSe2
1.0
6.0243 0.0000 0.0000
3.0122 5.2172 0.0000
3.0122 1.7391 5.9484
B Cs Se
1 1 2
direct
0.0000 0.0000 0.0000 B
0.5000 0.5000 0.5000 Cs
0.8986 0.8986 0.3042 Se
0.1014 0.1014 0.6958 Se
```

=====

A crystal of CsSi2B relaxed with PBEsol, computed with meta-GGA SCAN.

E_form (uncorrected) ... 0.72 eV per atom
Symmetry ... I4_1/amd, No. 141
Fermi-level density of states ... 0.45 states/eV per atom
Total magnetization ... 0.000 μB per cell
Total energy ... -124.777 eV for the cell shown

Cell and atoms, written as POSCAR:
```
CsSi2B
1.0
5.1285 0.0000 0.0000
0.0000 5.1285 0.0000
-2.5643 -2.5643 6.7839
B Cs Si
2 2 4
direct
0.7500 0.2500 0.5000 B
0.5000 0.5000 0.0000 B
0.2500 0.7500 0.5000 Cs
0.0000 0.0000 0.0000 Cs
0.1250 0.3750 0.7500 Si
0.6250 0.3750 0.7500 Si
0.6250 0.8750 0.2500 Si
0.6250 0.3750 0.2500 Si
```

=====

A crystal of CsYSiB2 relaxed with PBEsol, computed with meta-GGA SCAN.

E_form (uncorrected) ... 2.76 eV per atom
Symmetry ... P4/mmm, No. 123
Fermi-level density of states ... 0.71 states/eV per atom
Total magnetization ... 0.000 μB per cell
Total energy ... -76.744 eV for the cell shown

Cell and atoms, written as POSCAR:
```
CsYSiB2
1.0
-2.0405 2.7306 3.1069
-3.2126 -3.2284 0.7274
3.2221 -2.2784 4.1185
Y B Cs Si
1 2 1 1
direct
0.0000 0.0000 0.5000 Y
0.0000 0.5000 0.0000 B
0.5000 0.0000 0.0000 B
0.0000 0.0000 0.0000 Cs
0.5000 0.5000 0.5000 Si
```

=====

A crystal of CsTcB2 relaxed with PBEsol, computed with meta-GGA SCAN.

Symmetry ... Fd-3m, No. 227
Fermi-level density of states ... 0.28 states/eV per atom
Total magnetization ... 0.000 μB per cell
Total energy ... -171.213 eV for the cell shown
E_form ... 0.53 eV/atom

Cell and atoms, written as POSCAR:
```
CsTcB2
1.0
6.4423 0.0000 0.0000
3.2211 5.5792 0.0000
3.2211 1.8597 5.2601
Tc B Cs
2 4 2
direct
0.0000 0.0000 0.0000 Tc
0.2500 0.2500 0.2500 Tc
0.1250 0.6250 0.1250 B
0.1250 0.1250 0.1250 B
0.6250 0.1250 0.1250 B
0.1250 0.1250 0.6250 B
0.5000 0.5000 0.5000 Cs
0.7500 0.7500 0.7500 Cs
```

=====

A crystal of CsBTe3 relaxed with PBEsol, computed with meta-GGA SCAN.

E_form (uncorrected) ... 0.33 eV per atom
Symmetry ... Pm-3m, No. 221
Fermi-level density of states ... 0.76 states/eV per atom
Total magnetization ... 0.000 μB per cell
Total energy ... -155.331 eV for the cell shown

Cell and atoms, written as POSCAR:
```
CsBTe3
1.0
5.1357 0.0000 0.0000
0.0000 5.1357 0.0000
0.0000 0.0000 5.1357
Te B Cs
3 1 1
direct
0.0000 0.5000 0.0000 Te
0.0000 0.0000 0.5000 Te
0.5000 0.0000 0.0000 Te
0.0000 0.0000 0.0000 B
0.5000 0.5000 0.5000 Cs
```

=====

A crystal of CsTiB3 relaxed with PBEsol, computed with meta-GGA SCAN.

Symmetry ... Pm-3m, No. 221
Fermi-level density of states ... 0.58 states/eV per atom
Total magnetization ... 1.972 μB per cell
Total energy ... -59.039 eV for the cell shown
E_form ... 3.42 eV/atom

Cell and atoms, written as POSCAR:
```
CsTiB3
1.0
-4.1748 0.4539 1.4762
1.4195 -0.5487 4.1831
0.6085 4.3940 0.3699
B Ti Cs
3 1 1
direct
0.5000 0.0000 0.0000 B
0.0000 0.0000 0.5000 B
0.0000 0.5000 0.0000 B
0.5000 0.5000 0.5000 Ti
0.0000 0.0000 0.0000 Cs
```

=====

A crystal of Cs3TiB relaxed with PBEsol, computed with meta-GGA SCAN.

Symmetry ... Pm-3m, No. 221
Fermi-level density of states ... 1.09 states/eV per atom
Total magnetization ... 6.154 μB per cell
Total energy ... -128.313 eV for the cell shown
E_form ... 1.72 eV/atom

Cell and atoms, written as POSCAR:
```
Cs3TiB
1.0
6.6365 0.0000 0.0000
0.0000 6.6365 0.0000
0.0000 0.0000 6.6365
Cs Ti B
3 1 1
direct
0.0000 0.5000 0.0000 Cs
0.5000 0.0000 0.0000 Cs
0.0000 0.0000 0.5000 Cs
0.0000 0.0000 0.0000 Ti
0.5000 0.5000 0.5000 B
```

=====

A crystal of CsB3W relaxed with PBEsol, computed with meta-GGA SCAN.

Symmetry ... Pm-3m, No. 221
Fermi-level density of states ... 0.85 states/eV per atom
Total magnetization ... 2.648 μB per cell
Total energy ... -108.563 eV for the cell shown
E_form ... 4.24 eV/atom

Cell and atoms, written as POSCAR:
```
CsB3W
1.0
-1.5323 3.2489 2.3582
-2.9959 -2.6057 1.6431
2.6723 -1.0582 3.1943
W B Cs
1 3 1
direct
0.5000 0.5000 0.5000 W
0.0000 0.0000 0.5000 B
0.0000 0.5000 0.0000 B
0.5000 0.0000 0.0000 B
0.0000 0.0000 0.0000 Cs
```